This record from Alexandria via LeMat-Bulk describes crystalline Nb5S at its relaxed geometry. The functional is PBE-GGA.

Computed properties:
DOS(E_F): 0.789 states/eV/atom
E_tot: -9.187 eV/atom
Formation energy from raw total energies: -0.108 eV per atom
Magnetic moment: 0.0 μB per cell

Cell and atoms, written as POSCAR:
```
Nb5S
1.0
3.349 0.000 0.000
0.000 4.461 0.000
0.000 -2.231 6.942
Nb S
5 1
Direct
0.500 0.836 0.671 Nb
0.000 0.664 0.328 Nb
0.500 0.500 0.000 Nb
0.000 0.336 0.672 Nb
0.500 0.164 0.329 Nb
0.000 0.000 0.000 S
```